(1)
Computed, not measured: crystalline KLaSnRu2 at its relaxed geometry at the PBEsol level of DFT.

Properties
DOS(E_F) = 1.06 states/eV/atom
magnetic moment = 0.00 Bohr magnetons per cell
energy of formation from the pure elements = 1.8230 eV/atom

Cell lengths 4.6615, 4.6615, 5.1025 Å; angles 90.00, 90.00, 90.00 degrees
Fractional coordinates of all 5 atoms:
La1 0.0000 0.0000 0.5000
Ru1 0.0000 0.5000 0.0000
Ru2 0.5000 0.0000 0.0000
Sn1 0.5000 0.5000 0.5000
K1 0.0000 0.0000 0.0000

(2)
Computed, not measured: crystalline TlSbSe2 at its relaxed geometry at the PBEsol level of DFT.

Properties
DOS(E_F) = 0.00 states/eV/atom
magnetic moment = 0.00 Bohr magnetons per cell
formation energy without anion corrections = -26.3 kJ per mole of atoms

Cell lengths 4.1768, 4.2004, 6.5478 Å; angles 90.00, 108.60, 90.00 degrees
Fractional coordinates of all 4 atoms:
Se1 0.3785 0.0000 0.7569
Se2 0.6575 0.5000 0.3149
Tl1 0.1052 0.0000 0.2103
Sb1 0.8589 0.5000 0.7178

(3)
Computed, not measured: crystalline Fe5Re24 at its relaxed geometry at the PBEsol level of DFT.

Properties
DOS(E_F) = 0.98 states/eV/atom
magnetic moment = 12.45 Bohr magnetons per cell
energy of formation from the pure elements = 0.1214 eV/atom

Cell lengths 8.2080, 8.2080, 8.2080 Å; angles 109.47, 109.47, 109.47 degrees
Site moments in Bohr magnetons follow the coordinates.
Fractional coordinates of all 29 atoms:
Re1 0.1938 0.8170 0.1938  0.00
Re2 0.5963 0.0000 0.3137  -0.01
Re3 0.4037 0.4037 0.7174  -0.01
Re4 0.6863 0.2826 0.6863  -0.01
Re5 0.0000 0.8062 0.6232  0.00
Re6 0.3137 0.5963 0.0000  -0.01
Re7 0.6232 0.0000 0.8062  0.00
Re8 0.4037 0.7174 0.4037  -0.01
Re9 0.8062 0.0000 0.6232  0.00
Re10 0.1938 0.1938 0.8170  0.00
Re11 0.2826 0.6863 0.6863  -0.01
Re12 0.1830 0.3768 0.3768  0.00
Re13 0.0000 0.5963 0.3137  -0.01
Re14 0.6232 0.8062 0.0000  0.00
Re15 0.0000 0.6232 0.8062  0.00
Re16 0.0000 0.3137 0.5963  -0.01
Re17 0.8170 0.1938 0.1938  0.00
Re18 0.5963 0.3137 0.0000  -0.01
Re19 0.8062 0.6232 0.0000  0.00
Re20 0.3768 0.1830 0.3768  0.00
Re21 0.7174 0.4037 0.4037  -0.01
Re22 0.3768 0.3768 0.1830  0.00
Re23 0.6863 0.6863 0.2826  -0.01
Re24 0.3137 0.0000 0.5963  -0.01
Fe1 0.3375 0.0000 0.0000  2.54
Fe2 0.0000 0.0000 0.3375  2.54
Fe3 0.0000 0.0000 0.0000  2.66
Fe4 0.6625 0.6625 0.6625  2.54
Fe5 0.0000 0.3375 0.0000  2.54

(4)
Computed, not measured: crystalline SrCo3Se at its relaxed geometry at the PBEsol level of DFT.

Properties
DOS(E_F) = 2.02 states/eV/atom
magnetic moment = 3.84 Bohr magnetons per cell
formation energy without anion corrections = 212.3 kJ per mole of atoms

Cell lengths 4.6192, 4.6192, 4.6192 Å; angles 90.00, 90.00, 90.00 degrees
Site moments in Bohr magnetons follow the coordinates.
Fractional coordinates of all 5 atoms:
Co1 0.0000 0.5000 0.0000  1.34
Co2 0.0000 0.0000 0.5000  1.34
Co3 0.5000 0.0000 0.0000  1.34
Se1 0.5000 0.5000 0.5000  0.10
Sr1 0.0000 0.0000 0.0000  -0.16